Entry 1:
# CaSi4SnO10 (PBEsol, relaxed)
# formation energy (no corrections): -2.6519 eV/atom
# volume: 878.0 Å³ per cell
# total magnetic moment: 0.0 Bohr magnetons per cell
data_CaSi4SnO10
_chemical_formula_sum 'Ca4 Si16 Sn4 O40'
_cell_length_a 7.4579
_cell_length_b 7.4579
_cell_length_c 15.7864
_cell_angle_alpha 90.00
_cell_angle_beta 90.00
_cell_angle_gamma 90.00
_space_group_name_H-M_alt 'P 1'
_space_group_IT_number 1
loop_
_space_group_symop_operation_xyz
'x,y,z'
loop_
_atom_site_label
_atom_site_type_symbol
_atom_site_fract_x
_atom_site_fract_y
_atom_site_fract_z
Si1 Si 0.6625 0.7466 0.3483
Si2 Si 0.1625 0.7534 0.1517
Si3 Si 0.7466 0.6625 0.1517
Si4 Si 0.8375 0.7534 0.6517
Si5 Si 0.2534 0.6625 0.6517
Si6 Si 0.2534 0.3375 0.1517
Si7 Si 0.7534 0.1625 0.3483
Si8 Si 0.3375 0.7466 0.8483
Si9 Si 0.3375 0.2534 0.3483
Si10 Si 0.7534 0.8375 0.8483
Si11 Si 0.6625 0.2534 0.8483
Si12 Si 0.1625 0.2466 0.6517
Si13 Si 0.2466 0.8375 0.3483
Si14 Si 0.2466 0.1625 0.8483
Si15 Si 0.8375 0.2466 0.1517
Si16 Si 0.7466 0.3375 0.6517
O1 O 0.2522 0.0547 0.3664
O2 O 0.2478 0.4453 0.6336
O3 O 0.4453 0.7522 0.3664
O4 O 0.2646 0.3994 0.4149
O5 O 0.7522 0.5547 0.6336
O6 O 0.8037 0.1963 0.2500
O7 O 0.3037 0.3037 0.2500
O8 O 0.3994 0.7354 0.5851
O9 O 0.2354 0.8994 0.0851
O10 O 0.2646 0.6006 0.9149
O11 O 0.7522 0.4453 0.1336
O12 O 0.8037 0.8037 0.7500
O13 O 0.2522 0.9453 0.8664
O14 O 0.7354 0.6006 0.4149
O15 O 0.1963 0.8037 0.2500
O16 O 0.7478 0.0547 0.8664
O17 O 0.7646 0.8994 0.5851
O18 O 0.3037 0.6963 0.7500
O19 O 0.5547 0.2478 0.3664
O20 O 0.1006 0.7646 0.4149
O21 O 0.0547 0.7478 0.6336
O22 O 0.0547 0.2522 0.1336
O23 O 0.2478 0.5547 0.1336
O24 O 0.6006 0.7354 0.0851
O25 O 0.6963 0.6963 0.2500
O26 O 0.8994 0.7646 0.9149
O27 O 0.6963 0.3037 0.7500
O28 O 0.7354 0.3994 0.9149
O29 O 0.2354 0.1006 0.5851
O30 O 0.7646 0.1006 0.0851
O31 O 0.9453 0.2522 0.6336
O32 O 0.1963 0.1963 0.7500
O33 O 0.9453 0.7478 0.1336
O34 O 0.7478 0.9453 0.3664
O35 O 0.3994 0.2646 0.0851
O36 O 0.5547 0.7522 0.8664
O37 O 0.1006 0.2354 0.9149
O38 O 0.4453 0.2478 0.8664
O39 O 0.8994 0.2354 0.4149
O40 O 0.6006 0.2646 0.5851
Sn1 Sn 0.5000 0.0000 0.0348
Sn2 Sn 0.5000 0.0000 0.5348
Sn3 Sn 0.0000 0.5000 0.4652
Sn4 Sn 0.0000 0.5000 0.9652
Ca1 Ca 0.5000 0.5000 0.5000
Ca2 Ca 0.0000 0.0000 0.5000
Ca3 Ca 0.5000 0.5000 0.0000
Ca4 Ca 0.0000 0.0000 0.0000



Entry 2:
# ZrReN2F (PBEsol, relaxed)
# formation energy (no corrections): 0.2872 eV/atom
# volume: 70.4 Å³ per cell
# total magnetic moment: 3.9 Bohr magnetons per cell
data_ZrReN2F
_chemical_formula_sum 'Zr1 Re1 N2 F1'
_cell_length_a 3.9199
_cell_length_b 4.2389
_cell_length_c 4.2389
_cell_angle_alpha 90.00
_cell_angle_beta 90.00
_cell_angle_gamma 90.00
_space_group_name_H-M_alt 'P 1'
_space_group_IT_number 1
loop_
_space_group_symop_operation_xyz
'x,y,z'
loop_
_atom_site_label
_atom_site_type_symbol
_atom_site_fract_x
_atom_site_fract_y
_atom_site_fract_z
F1 F 0.5000 0.0000 0.0000
Zr1 Zr 0.0000 0.0000 0.0000
Re1 Re 0.5000 0.5000 0.5000
N1 N 0.0000 0.0000 0.5000
N2 N 0.0000 0.5000 0.0000



Entry 3:
# MgTlRe2 (PBEsol, relaxed)
# offset from the most stable computed form: 84 meV per atom
# calculated formation energy: 0.891 eV/atom
# volume: 67.8 Å³ per cell
# total magnetic moment: 0.0 Bohr magnetons per cell
data_MgTlRe2
_chemical_formula_sum 'Mg1 Tl1 Re2'
_cell_length_a 2.8161
_cell_length_b 5.2175
_cell_length_c 5.2175
_cell_angle_alpha 117.83
_cell_angle_beta 90.00
_cell_angle_gamma 90.00
_space_group_name_H-M_alt 'P 1'
_space_group_IT_number 1
loop_
_space_group_symop_operation_xyz
'x,y,z'
loop_
_atom_site_label
_atom_site_type_symbol
_atom_site_fract_x
_atom_site_fract_y
_atom_site_fract_z
Mg1 Mg 0.5000 0.5000 0.5000
Re1 Re 0.0000 0.5000 0.0000
Re2 Re 0.0000 0.0000 0.5000
Tl1 Tl 0.5000 0.0000 0.0000



Entry 4:
# ZrNiIN2 (PBEsol, relaxed)
# offset from the most stable computed form: 365 meV per atom
# formation energy (no corrections): 1.0093 eV/atom
# volume: 72.8 Å³ per cell
# total magnetic moment: 0.2 Bohr magnetons per cell
data_ZrNiIN2
_chemical_formula_sum 'Zr1 Ni1 I1 N2'
_cell_length_a 3.9615
_cell_length_b 3.9615
_cell_length_c 4.6399
_cell_angle_alpha 90.00
_cell_angle_beta 90.00
_cell_angle_gamma 90.00
_space_group_name_H-M_alt 'P 1'
_space_group_IT_number 1
loop_
_space_group_symop_operation_xyz
'x,y,z'
loop_
_atom_site_label
_atom_site_type_symbol
_atom_site_fract_x
_atom_site_fract_y
_atom_site_fract_z
Zr1 Zr 0.5000 0.5000 0.5000
Ni1 Ni 0.0000 0.0000 0.0000
N1 N 0.5000 0.0000 0.0000
N2 N 0.0000 0.5000 0.0000
I1 I 0.0000 0.0000 0.5000



Entry 5:
# CrIr2W (PBEsol, relaxed)
# offset from the most stable computed form: 28 meV per atom
# calculated formation energy: -0.213 eV/atom
# volume: 54.9 Å³ per cell
# total magnetic moment: 0.0 Bohr magnetons per cell
data_CrIr2W
_chemical_formula_sum 'Cr1 Ir2 W1'
_cell_length_a 2.7037
_cell_length_b 2.7037
_cell_length_c 7.5147
_cell_angle_alpha 90.00
_cell_angle_beta 90.00
_cell_angle_gamma 90.00
_space_group_name_H-M_alt 'P 1'
_space_group_IT_number 1
loop_
_space_group_symop_operation_xyz
'x,y,z'
loop_
_atom_site_label
_atom_site_type_symbol
_atom_site_fract_x
_atom_site_fract_y
_atom_site_fract_z
Ir1 Ir 0.0000 0.0000 0.2642
Ir2 Ir 0.0000 0.0000 0.7358
Cr1 Cr 0.5000 0.5000 0.5000
W1 W 0.5000 0.5000 0.0000



Entry 6:
# KCu2SnOs (PBEsol, relaxed)
# calculated formation energy: 2.469 eV/atom
# volume: 103.6 Å³ per cell
# total magnetic moment: 0.7 Bohr magnetons per cell
data_KCu2SnOs
_chemical_formula_sum 'K1 Cu2 Sn1 Os1'
_cell_length_a 4.3855
_cell_length_b 4.3855
_cell_length_c 5.3867
_cell_angle_alpha 90.00
_cell_angle_beta 90.00
_cell_angle_gamma 90.00
_space_group_name_H-M_alt 'P 1'
_space_group_IT_number 1
loop_
_space_group_symop_operation_xyz
'x,y,z'
loop_
_atom_site_label
_atom_site_type_symbol
_atom_site_fract_x
_atom_site_fract_y
_atom_site_fract_z
Cu1 Cu 0.0000 0.5000 0.0000
Cu2 Cu 0.5000 0.0000 0.0000
Os1 Os 0.5000 0.5000 0.5000
Sn1 Sn 0.0000 0.0000 0.5000
K1 K 0.0000 0.0000 0.0000



Entry 7:
# Ta3In2Cl9 (PBEsol, relaxed)
# formation energy (no corrections): -1.1464 eV/atom
# volume: 689.8 Å³ per cell
# total magnetic moment: 0.0 Bohr magnetons per cell
data_Ta3In2Cl9
_chemical_formula_sum 'Ta6 In4 Cl18'
_cell_length_a 9.3480
_cell_length_b 9.3480
_cell_length_c 9.5064
_cell_angle_alpha 105.23
_cell_angle_beta 105.23
_cell_angle_gamma 110.61
_space_group_name_H-M_alt 'P 1'
_space_group_IT_number 1
loop_
_space_group_symop_operation_xyz
'x,y,z'
loop_
_atom_site_label
_atom_site_type_symbol
_atom_site_fract_x
_atom_site_fract_y
_atom_site_fract_z
Ta1 Ta 0.8936 0.8936 0.1315
Ta2 Ta 0.0389 0.2250 0.1429
Ta3 Ta 0.7750 0.9611 0.8571
Ta4 Ta 0.2250 0.0389 0.1429
Ta5 Ta 0.1064 0.1064 0.8685
Ta6 Ta 0.9611 0.7750 0.8571
In1 In 0.4498 0.7568 0.3359
In2 In 0.7568 0.4498 0.3359
In3 In 0.5502 0.2432 0.6641
In4 In 0.2432 0.5502 0.6641
Cl1 Cl 0.5124 0.0878 0.3259
Cl2 Cl 0.3183 0.3183 0.3410
Cl3 Cl 0.7776 0.2224 0.0000
Cl4 Cl 0.4876 0.9122 0.6741
Cl5 Cl 0.1430 0.9193 0.3257
Cl6 Cl 0.6054 0.8286 0.9859
Cl7 Cl 0.0878 0.5124 0.3259
Cl8 Cl 0.9122 0.4876 0.6741
Cl9 Cl 0.2423 0.2423 0.7058
Cl10 Cl 0.6817 0.6817 0.6590
Cl11 Cl 0.0807 0.8570 0.6743
Cl12 Cl 0.7577 0.7577 0.2942
Cl13 Cl 0.2224 0.7776 0.0000
Cl14 Cl 0.8286 0.6054 0.9859
Cl15 Cl 0.9193 0.1430 0.3257
Cl16 Cl 0.8570 0.0807 0.6743
Cl17 Cl 0.3946 0.1714 0.0141
Cl18 Cl 0.1714 0.3946 0.0141



Entry 8:
# Li6PS5I (PBEsol, relaxed)
# offset from the most stable computed form: 25 meV per atom
# formation energy (no corrections): -1.0571 eV/atom
# volume: 264.9 Å³ per cell
# total magnetic moment: 0.0 Bohr magnetons per cell
data_Li6PS5I
_chemical_formula_sum 'Li6 P1 S5 I1'
_cell_length_a 7.2084
_cell_length_b 7.2084
_cell_length_c 7.2084
_cell_angle_alpha 60.00
_cell_angle_beta 60.00
_cell_angle_gamma 60.00
_space_group_name_H-M_alt 'P 1'
_space_group_IT_number 1
loop_
_space_group_symop_operation_xyz
'x,y,z'
loop_
_atom_site_label
_atom_site_type_symbol
_atom_site_fract_x
_atom_site_fract_y
_atom_site_fract_z
Li1 Li 0.4764 0.0236 0.0236
Li2 Li 0.4764 0.4764 0.0236
Li3 Li 0.4764 0.0236 0.4764
Li4 Li 0.0236 0.4764 0.0236
Li5 Li 0.0236 0.4764 0.4764
Li6 Li 0.0236 0.0236 0.4764
I1 I 0.0000 0.0000 0.0000
S1 S 0.6160 0.6160 0.1521
S2 S 0.2500 0.2500 0.2500
S3 S 0.6160 0.1521 0.6160
S4 S 0.1521 0.6160 0.6160
S5 S 0.6160 0.6160 0.6160
P1 P 0.5000 0.5000 0.5000